Below is a relaxed NaTcS3 crystal, with properties calculated at the PBE level.

a = 4.6938 Å, b = 4.6938 Å, c = 4.7007 Å
α = 90.00°, β = 90.00°, γ = 90.00°
Space group P4mm (No. 99)
Asymmetric unit:
Na 0.0000 0.0000 0.0000 (multiplicity 1)
Tc 0.5000 0.5000 0.5031 (multiplicity 1)
S 0.0000 0.5000 0.5032 (multiplicity 2)
S 0.5000 0.5000 0.0032 (multiplicity 1)

Summary:
Calculated density   3.5 g/cm³
Crystal system   tetragonal
DFT total energy   -5.009 eV/atom